No. 1
The following is a DFT calculation (GGA-PBE) of crystalline Sm6ZnCd3 at its relaxed geometry.

energy: -0.127 Ha/atom
magnetization: 0.0 μB per formula unit
formation enthalpy at 0 K: -0.22 eV per atom

Cell and atoms, written as POSCAR:
```
Sm6ZnCd3
1.0
5.380 0.000 0.000
0.000 8.757 -3.010
0.000 0.025 11.879
Sm Zn Cd
12 2 6
direct
0.250 0.092 0.866
0.750 0.146 0.684
0.750 0.758 0.502
0.250 0.666 0.672
0.250 0.242 0.498
0.250 0.467 0.087
0.750 0.908 0.134
0.250 0.854 0.316
0.250 0.136 0.155
0.750 0.533 0.913
0.750 0.864 0.845
0.750 0.334 0.328
0.750 0.043 0.407
0.250 0.957 0.593
0.250 0.531 0.375
0.250 0.770 0.974
0.750 0.469 0.625
0.750 0.610 0.219
0.250 0.390 0.781
0.750 0.230 0.026
```

=====

No. 2
The following is a DFT calculation (GGA-PBE) of crystalline Sm2ZnCd2 at its relaxed geometry.

energy: -0.102 Ha/atom
magnetization: 0.0 μB per formula unit
formation enthalpy at 0 K: -0.26 eV per atom

Cell and atoms, written as POSCAR:
```
Sm2ZnCd2
1.0
4.701 0.000 0.000
2.351 5.468 -0.443
2.351 0.089 10.071
Cd Sm Zn
4 4 2
direct
0.926 0.719 0.430
0.640 0.841 0.878
0.360 0.159 0.122
0.074 0.281 0.570
0.083 0.728 0.106
0.686 0.286 0.342
0.314 0.714 0.658
0.917 0.272 0.894
0.613 0.115 0.659
0.387 0.885 0.341
```

=====

No. 3
The following is a DFT calculation (GGA-PBE) of crystalline Sm3ZnCd3 at its relaxed geometry.

energy: -0.106 Ha/atom
magnetization: 0.0 μB per formula unit
formation enthalpy at 0 K: -0.28 eV per atom

Cell and atoms, written as POSCAR:
```
Sm3ZnCd3
1.0
4.797 0.000 -1.047
-0.175 3.451 -0.802
-0.152 0.683 10.821
Cd Zn Sm
3 1 3
direct
0.861 0.361 0.722
0.142 0.642 0.283
0.564 0.564 0.127
0.433 0.433 0.866
0.699 0.199 0.398
0.996 0.996 0.991
0.306 0.806 0.613
```

=====

Copy entry 2 word for word.
The following is a DFT calculation (GGA-PBE) of crystalline Sm2ZnCd2 at its relaxed geometry.

energy: -0.102 Ha/atom
magnetization: 0.0 μB per formula unit
formation enthalpy at 0 K: -0.26 eV per atom

Cell and atoms, written as POSCAR:
```
Sm2ZnCd2
1.0
4.701 0.000 0.000
2.351 5.468 -0.443
2.351 0.089 10.071
Cd Sm Zn
4 4 2
direct
0.926 0.719 0.430
0.640 0.841 0.878
0.360 0.159 0.122
0.074 0.281 0.570
0.083 0.728 0.106
0.686 0.286 0.342
0.314 0.714 0.658
0.917 0.272 0.894
0.613 0.115 0.659
0.387 0.885 0.341
```